# PrSm2Tm (PBE-GGA, optimized geometry)
data_PrSm2Tm
_chemical_formula_sum 'Pr1 Sm2 Tm1'
_cell_length_a 3.626
_cell_length_b 3.626
_cell_length_c 11.945
_cell_angle_alpha 81.27
_cell_angle_beta 81.27
_cell_angle_gamma 60.00
_symmetry_space_group_name_H-M 'P 1'
_symmetry_Int_Tables_number 1
loop_
_symmetry_equiv_pos_as_xyz
'x,y,z'
loop_
_atom_site_label
_atom_site_fract_x
_atom_site_fract_y
_atom_site_fract_z
Pr1 0.500 0.500 0.500
Sm1 0.081 0.081 0.757
Sm2 0.252 0.252 0.243
Tm1 0.667 0.667 0.000
# offset from the most stable computed form: 4 meV/atom
# space group: No. 160
# energy relative to the elements: 22 meV/atom
# theoretical density: 7.573 g cm⁻³

# Pr2Sm7Tm3 (PBE-GGA, optimized geometry)
data_Pr2Sm7Tm3
_chemical_formula_sum 'Pr2 Sm7 Tm3'
_cell_length_a 3.646
_cell_length_b 5.775
_cell_length_c 19.342
_cell_angle_alpha 98.59
_cell_angle_beta 90.00
_cell_angle_gamma 90.00
_symmetry_space_group_name_H-M 'P 1'
_symmetry_Int_Tables_number 1
loop_
_symmetry_equiv_pos_as_xyz
'x,y,z'
loop_
_atom_site_label
_atom_site_fract_x
_atom_site_fract_y
_atom_site_fract_z
Pr1 0.000 0.852 0.703
Pr2 0.000 0.148 0.297
Sm1 0.000 0.410 0.820
Sm2 0.000 0.769 0.537
Sm3 0.000 0.000 0.000
Sm4 0.000 0.590 0.180
Sm5 0.500 0.071 0.142
Sm6 0.500 0.929 0.858
Sm7 0.000 0.231 0.463
Tm1 0.500 0.500 0.000
Tm2 0.500 0.686 0.372
Tm3 0.500 0.314 0.628
# offset from the most stable computed form: 49 meV/atom
# space group: No. 65
# energy relative to the elements: 118 meV/atom
# theoretical density: 7.592 g cm⁻³

# Pr2Sm4Tm3 (PBE-GGA, optimized geometry)
data_Pr2Sm4Tm3
_chemical_formula_sum 'Pr2 Sm4 Tm3'
_cell_length_a 3.619
_cell_length_b 3.619
_cell_length_c 26.708
_cell_angle_alpha 90.00
_cell_angle_beta 90.00
_cell_angle_gamma 120.00
_symmetry_space_group_name_H-M 'P 1'
_symmetry_Int_Tables_number 1
loop_
_symmetry_equiv_pos_as_xyz
'x,y,z'
loop_
_atom_site_label
_atom_site_fract_x
_atom_site_fract_y
_atom_site_fract_z
Pr1 0.667 0.333 0.087
Pr2 0.667 0.333 0.872
Sm1 0.000 0.000 0.545
Sm2 0.667 0.333 0.433
Sm3 0.667 0.333 0.223
Sm4 0.000 0.000 0.757
Tm1 0.000 0.000 0.982
Tm2 0.000 0.000 0.326
Tm3 0.667 0.333 0.651
# offset from the most stable computed form: 0 meV/atom
# space group: No. 156
# energy relative to the elements: 51 meV/atom
# theoretical density: 7.620 g cm⁻³

# Pr12Sm7Tm (PBE-GGA, optimized geometry)
data_Pr12Sm7Tm
_chemical_formula_sum 'Pr12 Sm7 Tm1'
_cell_length_a 6.354
_cell_length_b 11.614
_cell_length_c 11.614
_cell_angle_alpha 116.75
_cell_angle_beta 100.51
_cell_angle_gamma 100.51
_symmetry_space_group_name_H-M 'P 1'
_symmetry_Int_Tables_number 1
loop_
_symmetry_equiv_pos_as_xyz
'x,y,z'
loop_
_atom_site_label
_atom_site_fract_x
_atom_site_fract_y
_atom_site_fract_z
Pr1 0.090 0.589 0.178
Pr2 0.088 0.178 0.589
Pr3 0.581 0.646 0.001
Pr4 0.419 0.001 0.354
Pr5 0.499 0.411 0.589
Pr6 0.065 0.646 0.646
Pr7 0.935 0.354 0.354
Pr8 0.501 0.589 0.411
Pr9 0.581 0.999 0.646
Pr10 0.419 0.354 0.999
Pr11 0.912 0.822 0.411
Pr12 0.910 0.411 0.822
Sm1 0.122 0.753 0.000
Sm2 0.878 0.000 0.248
Sm3 0.630 0.752 0.753
Sm4 0.500 0.000 0.000
Sm5 0.370 0.248 0.247
Sm6 0.122 0.000 0.752
Sm7 0.878 0.247 0.000
Tm1 0.000 0.000 0.000
# offset from the most stable computed form: 0 meV/atom
# space group: No. 148
# energy relative to the elements: 208 meV/atom
# theoretical density: 6.739 g cm⁻³

# Pr2SmTm2 (PBE-GGA, optimized geometry)
data_Pr2SmTm2
_chemical_formula_sum 'Pr4 Sm2 Tm4'
_cell_length_a 9.039
_cell_length_b 9.039
_cell_length_c 6.082
_cell_angle_alpha 117.80
_cell_angle_beta 117.80
_cell_angle_gamma 96.04
_symmetry_space_group_name_H-M 'P 1'
_symmetry_Int_Tables_number 1
loop_
_symmetry_equiv_pos_as_xyz
'x,y,z'
loop_
_atom_site_label
_atom_site_fract_x
_atom_site_fract_y
_atom_site_fract_z
Pr1 0.763 0.607 0.496
Pr2 0.393 0.237 0.004
Pr3 0.607 0.763 0.996
Pr4 0.237 0.393 0.504
Sm1 0.066 0.934 0.250
Sm2 0.934 0.066 0.750
Tm1 0.331 0.669 0.250
Tm2 0.803 0.197 0.250
Tm3 0.197 0.803 0.750
Tm4 0.669 0.331 0.750
# offset from the most stable computed form: 255 meV/atom
# space group: No. 15
# energy relative to the elements: 286 meV/atom
# theoretical density: 7.221 g cm⁻³

# Pr8SmTm5 (PBE-GGA, optimized geometry)
data_Pr8SmTm5
_chemical_formula_sum 'Pr8 Sm1 Tm5'
_cell_length_a 8.660
_cell_length_b 8.567
_cell_length_c 8.745
_cell_angle_alpha 112.92
_cell_angle_beta 98.76
_cell_angle_gamma 117.15
_symmetry_space_group_name_H-M 'P 1'
_symmetry_Int_Tables_number 1
loop_
_symmetry_equiv_pos_as_xyz
'x,y,z'
loop_
_atom_site_label
_atom_site_fract_x
_atom_site_fract_y
_atom_site_fract_z
Pr1 0.224 0.754 0.109
Pr2 0.110 0.207 0.738
Pr3 0.657 0.223 0.278
Pr4 0.704 0.466 0.940
Pr5 0.479 0.544 0.238
Pr6 0.515 0.769 0.865
Pr7 0.376 0.274 0.487
Pr8 0.081 0.749 0.429
Sm1 0.023 0.487 0.649
Tm1 0.953 0.253 0.059
Tm2 0.882 0.979 0.277
Tm3 0.821 0.750 0.697
Tm4 0.614 0.017 0.592
Tm5 0.311 0.030 0.893
# space group: No. 1
# energy relative to the elements: 163 meV/atom
# theoretical density: 7.241 g cm⁻³

| no. | VASP energy (eV per atom) |
| --- | --- |
| 1 | -4.650 |
| 2 | -4.550 |
| 3 | -4.599 |
| 4 | -4.535 |
| 5 | -4.358 |
| 6 | -4.503 |